(1)
Material: Y3MgAl
Method: DFT, GGA-PBE
State: relaxed

The structure in POSCAR format:
```
Y3MgAl
1.0
2.576 -10.142 0.000
2.576 10.142 0.000
0.000 0.000 5.149
Y Mg Al
6 2 2
Direct
0.063 0.937 0.750
0.249 0.751 0.750
0.435 0.565 0.750
0.565 0.435 0.250
0.751 0.249 0.250
0.937 0.063 0.250
0.158 0.842 0.250
0.842 0.158 0.750
0.340 0.660 0.250
0.660 0.340 0.750
```

Calculated values
- Space-group type: Cmcm
- DFT formation energy: -0.22 eV/atom
- Total DFT energy (no corrections): -51.691 eV/cell
- Calculated volume: 269 Å³ per cell

(2)
Material: LiCaCdGa
Method: DFT, GGA-PBE
State: relaxed

The structure in POSCAR format:
```
LiCaCdGa
1.0
0.000 3.461 3.461
3.461 0.000 3.461
3.461 3.461 0.000
Li Ca Cd Ga
1 1 1 1
Direct
0.000 0.000 0.000
0.750 0.750 0.750
0.250 0.250 0.250
0.500 0.500 0.500
```

Calculated values
- Space-group type: F-43m
- DFT formation energy: -0.32 eV/atom
- Total DFT energy (no corrections): -9.156 eV/cell
- Calculated volume: 83 Å³ per cell

(3)
Material: TlIn2N
Method: DFT, GGA-PBE
State: relaxed

The structure in POSCAR format:
```
TlIn2N
1.0
0.000 3.558 3.558
3.558 0.000 3.558
3.558 3.558 0.000
Tl In N
1 2 1
Direct
0.000 0.000 0.000
0.250 0.250 0.250
0.750 0.750 0.750
0.500 0.500 0.500
```

Calculated values
- Uncorrected formation energy: 1.032 eV per atom
- Space-group type: Fm-3m
- Total DFT energy (no corrections): -12.043 eV/cell
- Calculated volume: 90 Å³ per cell

(4)
Material: Hf2GaCo2
Method: DFT, GGA-PBE
State: relaxed

The structure in POSCAR format:
```
Hf2GaCo2
1.0
7.450 0.000 0.000
0.000 7.450 0.000
0.000 0.000 3.008
Hf Ga Co
4 2 4
Direct
0.155 0.345 0.000
0.345 0.845 0.000
0.655 0.155 0.000
0.845 0.655 0.000
0.000 0.000 0.000
0.500 0.500 0.000
0.133 0.633 0.500
0.367 0.133 0.500
0.633 0.867 0.500
0.867 0.367 0.500
```

Calculated values
- Space-group type: P4/mbm
- DFT formation energy: -0.11 eV/atom
- Total DFT energy (no corrections): -75.424 eV/cell
- Calculated volume: 167 Å³ per cell

(5)
Material: Li2Dy2HoPd5
Method: DFT, GGA-PBE
State: relaxed

The structure in POSCAR format:
```
Li2Dy2HoPd5
1.0
9.892 0.000 0.000
0.000 9.892 0.000
0.000 0.000 3.678
Li Dy Ho Pd
4 4 2 10
Direct
0.121 0.379 0.000
0.379 0.879 0.000
0.621 0.121 0.000
0.879 0.621 0.000
0.175 0.675 0.000
0.325 0.175 0.000
0.675 0.825 0.000
0.825 0.325 0.000
0.000 0.000 0.000
0.500 0.500 0.000
0.000 0.500 0.500
0.071 0.214 0.500
0.214 0.929 0.500
0.286 0.429 0.500
0.429 0.714 0.500
0.500 0.000 0.500
0.571 0.286 0.500
0.714 0.571 0.500
0.786 0.071 0.500
0.929 0.786 0.500
```

Calculated values
- Space-group type: P4/mbm
- DFT formation energy: -0.75 eV/atom
- Total DFT energy (no corrections): -102.151 eV/cell
- Calculated volume: 360 Å³ per cell

(6)
Material: K2ThTlSe4
Method: DFT, GGA-PBE
State: relaxed

The structure in POSCAR format:
```
K2ThTlSe4
1.0
7.702 0.000 0.000
0.000 4.362 0.000
-2.565 0.000 7.680
K Th Tl Se
2 1 1 4
Direct
0.000 0.000 0.000
0.500 0.500 0.000
0.000 0.500 0.500
0.500 0.000 0.500
0.219 0.000 0.713
0.245 0.500 0.290
0.755 0.500 0.710
0.781 0.000 0.287
```

Calculated values
- Uncorrected formation energy: -1.223 eV per atom
- Space-group type: P2/m
- Total DFT energy (no corrections): -35.704 eV/cell
- Calculated volume: 258 Å³ per cell

(7)
Material: BaPaNbN3
Method: DFT, GGA-PBE
State: relaxed

The structure in POSCAR format:
```
BaPaNbN3
1.0
7.607 0.000 0.000
0.000 3.670 0.000
-3.440 0.000 9.210
Ba Pa Nb N
2 2 2 6
Direct
0.207 0.250 0.175
0.793 0.750 0.825
0.318 0.750 0.864
0.682 0.250 0.136
0.020 0.250 0.612
0.980 0.750 0.388
0.122 0.250 0.856
0.142 0.750 0.614
0.474 0.750 0.106
0.526 0.250 0.894
0.858 0.250 0.386
0.878 0.750 0.144
```

Calculated values
- Uncorrected formation energy: -1.018 eV per atom
- Space-group type: P2_1/m
- Total DFT energy (no corrections): -105.148 eV/cell
- Calculated volume: 257 Å³ per cell

(8)
Material: Li2MgCd2
Method: DFT, GGA-PBE
State: relaxed

The structure in POSCAR format:
```
Li2MgCd2
1.0
7.584 0.000 0.000
0.000 7.584 0.000
0.000 0.000 3.312
Li Mg Cd
4 2 4
Direct
0.130 0.370 0.000
0.370 0.870 0.000
0.630 0.130 0.000
0.870 0.630 0.000
0.000 0.000 0.000
0.500 0.500 0.000
0.165 0.665 0.500
0.335 0.165 0.500
0.665 0.835 0.500
0.835 0.335 0.500
```

Calculated values
- Space-group type: P4/mbm
- DFT formation energy: -0.17 eV/atom
- Total DFT energy (no corrections): -16.221 eV/cell
- Calculated volume: 191 Å³ per cell

(9)
Material: BaGaGe
Method: DFT, GGA-PBE
State: relaxed

The structure in POSCAR format:
```
BaGaGe
1.0
5.686 0.000 0.000
0.000 7.864 0.000
-0.075 0.000 7.523
Ba Ga Ge
4 4 4
Direct
0.173 0.207 0.496
0.173 0.293 0.996
0.827 0.707 0.004
0.827 0.793 0.504
0.318 0.602 0.332
0.318 0.898 0.832
0.682 0.102 0.168
0.682 0.398 0.668
0.323 0.602 0.683
0.323 0.898 0.183
0.677 0.102 0.817
0.677 0.398 0.317
```

Calculated values
- Space-group type: P2_1/c
- DFT formation energy: -0.45 eV/atom
- Total DFT energy (no corrections): -43.611 eV/cell
- Calculated volume: 336 Å³ per cell

(10)
Material: SrS3F
Method: DFT, GGA-PBE
State: relaxed

The structure in POSCAR format:
```
SrS3F
1.0
5.736 0.000 0.000
0.000 5.736 0.000
0.000 0.000 5.736
Sr S F
1 3 1
Direct
0.000 0.000 0.000
0.000 0.000 0.500
0.000 0.500 0.000
0.500 0.000 0.000
0.500 0.500 0.500
```

Calculated values
- Uncorrected formation energy: 0.305 eV per atom
- Space-group type: Pm-3m
- Total DFT energy (no corrections): -14.409 eV/cell
- Calculated volume: 189 Å³ per cell

(11)
Material: NaTiICl4
Method: DFT, GGA-PBE
State: relaxed

The structure in POSCAR format:
```
NaTiICl4
1.0
7.601 -4.250 0.000
7.601 4.250 0.000
-1.694 0.000 9.334
Na Ti I Cl
2 2 2 8
Direct
0.118 0.118 0.209
0.882 0.882 0.791
0.232 0.232 0.695
0.768 0.768 0.305
0.090 0.090 0.866
0.910 0.910 0.134
0.054 0.503 0.810
0.118 0.118 0.506
0.337 0.337 0.558
0.497 0.946 0.190
0.503 0.054 0.810
0.663 0.663 0.442
0.882 0.882 0.494
0.946 0.497 0.190
```

Calculated values
- Uncorrected formation energy: -1.427 eV per atom
- Space-group type: C2/m
- Total DFT energy (no corrections): -56.283 eV/cell
- Calculated volume: 603 Å³ per cell

(12)
Material: Y2RePb
Method: DFT, GGA-PBE
State: relaxed

The structure in POSCAR format:
```
Y2RePb
1.0
-2.234 2.234 4.717
2.234 -2.234 4.717
2.234 2.234 -4.717
Y Re Pb
2 1 1
Direct
0.000 0.000 0.000
0.750 0.250 0.500
0.500 0.500 0.000
0.250 0.750 0.500
```

Calculated values
- Space-group type: I-4m2
- DFT formation energy: 0.22 eV/atom
- Total DFT energy (no corrections): -28.214 eV/cell
- Calculated volume: 94 Å³ per cell